(1)
## Ca2LaTl9 (PBE)

Data for a relaxed Ca2LaTl9 crystal.

Cell and atoms, written as POSCAR:
```
Ca2LaTl9
1.0
4.874 0.000 0.000
0.000 4.874 0.000
0.000 0.000 14.590
Ca La Tl
2 1 9
Direct
0.000 0.000 0.166
0.000 0.000 0.834
0.000 0.000 0.500
0.000 0.500 0.000
0.000 0.500 0.331
0.000 0.500 0.669
0.500 0.000 0.000
0.500 0.000 0.331
0.500 0.000 0.669
0.500 0.500 0.167
0.500 0.500 0.500
0.500 0.500 0.833
```

Calculated values
N(E_F) (states/eV per cell): 7.89
SG: P4/mmm
Energy (eV per atom): -2.7917

(2)
## Ce3SiSe (PBE)

Data for a relaxed Ce3SiSe crystal.

Cell and atoms, written as POSCAR:
```
Ce3SiSe
1.0
7.329 -5.069 0.000
7.329 5.069 0.000
-2.163 0.000 6.864
Ce Si Se
12 4 4
Direct
0.042 0.126 0.392
0.126 0.042 0.892
0.130 0.664 0.032
0.240 0.439 0.436
0.336 0.870 0.468
0.439 0.240 0.936
0.561 0.760 0.064
0.664 0.130 0.532
0.760 0.561 0.564
0.870 0.336 0.968
0.874 0.958 0.108
0.958 0.874 0.608
0.297 0.703 0.750
0.460 0.540 0.250
0.540 0.460 0.750
0.703 0.297 0.250
0.094 0.373 0.740
0.373 0.094 0.240
0.627 0.906 0.760
0.906 0.627 0.260
```

Calculated values
N(E_F) (states/eV per cell): 52.38
SG: C2/c
Energy (eV per atom): -6.1404

(3)
## Cs2PmPb3F12 (PBE)

Data for a relaxed Cs2PmPb3F12 crystal.

Cell and atoms, written as POSCAR:
```
Cs2PmPb3F12
1.0
4.292 2.478 7.233
-4.292 2.478 7.233
0.000 -4.956 7.233
Cs Pm Pb F
2 1 3 12
Direct
0.099 0.099 0.099
0.901 0.901 0.901
0.500 0.500 0.500
0.000 0.500 0.500
0.500 0.000 0.500
0.500 0.500 0.000
0.166 0.166 0.589
0.166 0.589 0.166
0.190 0.566 0.566
0.411 0.834 0.834
0.434 0.434 0.810
0.434 0.810 0.434
0.566 0.190 0.566
0.566 0.566 0.190
0.589 0.166 0.166
0.810 0.434 0.434
0.834 0.411 0.834
0.834 0.834 0.411
```

Calculated values
N(E_F) (states/eV per cell): 8.76
SG: R-3m
Energy (eV per atom): -4.9613